VASP calculation (PBE) on a relaxed structure of MnCdTeN2.

Calculated values
Total energy, eV per cell: -18.2
V, Å³ per cell: 101
Theoretical density, g cm⁻³: 5.33
Energy above the most stable polymorph in this dataset, meV/atom: 1640
E_form (uncorrected), eV/atom: 2.344

a = 4.0523 Å, b = 4.0523 Å, c = 6.1235 Å
α = 90.00°, β = 90.00°, γ = 90.00°
With the nearest neighbours (Å) after each atom.
Element x y z (fractional)
Te (0.0000, 0.0000, 0.5000)  4 Mn 2.87, 2 Cd 3.06
Cd (0.0000, 0.0000, 0.0000)  4 N 2.03
N (0.5000, 0.0000, 0.0000)  2 Cd 2.03
N (0.0000, 0.5000, 0.0000)  2 Cd 2.03
Mn (0.5000, 0.5000, 0.5000)  4 Te 2.87



VASP calculation (PBE) on a relaxed structure of LaSbIr3.

Calculated values
Total energy, eV per cell: -33.0
V, Å³ per cell: 118
Theoretical density, g cm⁻³: 11.79
Energy above the most stable polymorph in this dataset, meV/atom: 0
E_form (uncorrected), eV/atom: 0.522

a = 4.9042 Å, b = 4.9042 Å, c = 4.9042 Å
α = 90.00°, β = 90.00°, γ = 90.00°
With the nearest neighbours (Å) after each atom.
Element x y z (fractional)
Ir (0.5000, 0.0000, 0.0000)  2 Sb 2.45
Ir (0.0000, 0.5000, 0.0000)  2 Sb 2.45
Ir (0.0000, 0.0000, 0.5000)  2 Sb 2.45
Sb (0.0000, 0.0000, 0.0000)  6 Ir 2.45
La (0.5000, 0.5000, 0.5000)  12 Ir 3.47



VASP calculation (PBE) on a relaxed structure of BiSbTeI2.

Calculated values
Total energy, eV per cell: -12.2
V, Å³ per cell: 226
Theoretical density, g cm⁻³: 5.23
Energy above the most stable polymorph in this dataset, meV/atom: 61
E_form (uncorrected), eV/atom: 0.410

a = 6.0180 Å, b = 6.0180 Å, c = 6.2406 Å
α = 90.00°, β = 90.00°, γ = 90.00°
With the nearest neighbours (Å) after each atom.
Element x y z (fractional)
Te (0.0000, 0.0000, 0.5000)  2 Bi 3.12
Sb (0.5000, 0.5000, 0.5000)  4 Te 4.26, 8 I 4.33
I (0.0000, 0.5000, 0.0000)  2 Bi 3.01
I (0.5000, 0.0000, 0.0000)  2 Bi 3.01
Bi (0.0000, 0.0000, 0.0000)  4 I 3.01, 2 Te 3.12



VASP calculation (PBE) on a relaxed structure of La2CrBi.

Calculated values
Total energy, eV per cell: -46.0
V, Å³ per cell: 244
Theoretical density, g cm⁻³: 7.34
Formation energy from the elements, eV/atom: 0.094

a = 8.5746 Å, b = 8.5746 Å, c = 6.9099 Å
α = 51.65°, β = 51.65°, γ = 90.00°
With the nearest neighbours (Å) after each atom.
Element x y z (fractional)
Bi (0.7500, 0.2500, 0.5000)  4 La 3.30, 2 Cr 3.31
Bi (0.0000, 0.0000, 0.0000)  4 La 3.30, 2 Cr 3.31
Cr (0.2500, 0.7500, 0.5000)  4 La 2.99, 2 Bi 3.31
Cr (0.5000, 0.5000, 0.0000)  4 La 2.99, 2 Bi 3.31
La (0.5988, 0.1250, 0.2500)  2 Cr 2.99, 2 Bi 3.30, 2 La 3.34
La (0.3750, 0.4012, 0.7500)  2 Cr 2.99, 2 Bi 3.30, 2 La 3.34
La (0.8750, 0.8488, 0.7500)  2 Cr 2.99, 2 Bi 3.30, 2 La 3.34
La (0.1512, 0.6250, 0.2500)  2 Cr 2.99, 2 Bi 3.30, 2 La 3.34



VASP calculation (PBE) on a relaxed structure of NaTbCd.

Calculated values
Total energy, eV per cell: -13.5
V, Å³ per cell: 176
Theoretical density, g cm⁻³: 5.57
Energy above the most stable polymorph in this dataset, meV/atom: 43
Formation energy from the elements, eV/atom: 0.045

a = 3.4831 Å, b = 3.4755 Å, c = 16.7573 Å
α = 90.00°, β = 90.00°, γ = 120.07°
With the nearest neighbours (Å) after each atom.
Element x y z (fractional)
Tb (0.2751, 0.5502, 0.1537)  3 Cd 3.27, 6 Tb 3.48
Tb (0.2751, 0.5502, 0.8463)  3 Cd 3.27, 6 Tb 3.48
Cd (0.2806, 0.5612, 0.5000)  6 Na 3.32, 6 Cd 3.48
Cd (0.6090, 0.2179, 0.0000)  6 Tb 3.27, 6 Cd 3.48
Na (0.6134, 0.2268, 0.6579)  3 Cd 3.32, 6 Na 3.48
Na (0.6134, 0.2268, 0.3421)  3 Cd 3.32, 6 Na 3.48



VASP calculation (PBE) on a relaxed structure of K2Zn2Cl5.

Calculated values
Total energy, eV per cell: -25.6
V, Å³ per cell: 253
Theoretical density, g cm⁻³: 2.54
E_form (uncorrected), eV/atom: -1.288

a = 5.2310 Å, b = 7.4168 Å, c = 7.4907 Å
α = 110.07°, β = 90.00°, γ = 110.65°
With the nearest neighbours (Å) after each atom.
Element x y z (fractional)
Cl (0.8500, 0.7000, 0.4352)  1 Zn 2.36
Cl (0.0000, 0.0000, 0.0000)  2 Zn 2.54
Cl (0.1500, 0.3000, 0.5648)  1 Zn 2.36
Cl (0.3454, 0.6908, 0.0843)  3 Zn 2.59-2.63
Cl (0.6546, 0.3092, 0.9157)  3 Zn 2.59-2.63
Zn (0.1488, 0.2976, 0.8789)  5 Cl 2.36-2.63
Zn (0.8512, 0.7024, 0.1211)  5 Cl 2.36-2.63
K (0.6050, 0.2100, 0.3062)  7 Cl 3.18-3.43
K (0.3950, 0.7900, 0.6938)  7 Cl 3.18-3.43



VASP calculation (PBE) on a relaxed structure of LiTiIO2.

Calculated values
Total energy, eV per cell: -21.6
V, Å³ per cell: 72
Theoretical density, g cm⁻³: 4.96
Energy above the most stable polymorph in this dataset, meV/atom: 1736
E_form (uncorrected), eV/atom: -0.072

a = 3.9367 Å, b = 3.9367 Å, c = 4.6190 Å
α = 90.00°, β = 90.00°, γ = 90.00°
With the nearest neighbours (Å) after each atom.
Element x y z (fractional)
Ti (0.5000, 0.5000, 0.5000)  4 I 2.78, 8 O 3.03
O (0.0000, 0.5000, 0.0000)  2 Li 1.97
O (0.5000, 0.0000, 0.0000)  2 Li 1.97
I (0.0000, 0.0000, 0.5000)  2 Li 2.31
Li (0.0000, 0.0000, 0.0000)  4 O 1.97



VASP calculation (PBE) on a relaxed structure of Ca2TeRh.

Calculated values
Total energy, eV per cell: -17.4
V, Å³ per cell: 97
Theoretical density, g cm⁻³: 5.31
E_form (uncorrected), eV/atom: -0.735

a = 3.8328 Å, b = 3.8020 Å, c = 7.6778 Å
α = 60.31°, β = 90.00°, γ = 90.00°
With the nearest neighbours (Å) after each atom.
Element x y z (fractional)
Te (0.5000, 0.7500, 0.7500)  8 Ca 3.22, 2 Rh 3.33
Ca (0.0000, 0.5135, 0.4865)  4 Rh 3.13, 1 Ca 3.15, 4 Te 3.22
Ca (0.0000, 0.9865, 0.0135)  4 Rh 3.13, 1 Ca 3.15, 4 Te 3.22
Rh (0.5000, 0.2500, 0.2500)  8 Ca 3.13, 2 Te 3.33



VASP calculation (PBE) on a relaxed structure of MgScAl2.

Calculated values
Total energy, eV per cell: -15.8
V, Å³ per cell: 79
Theoretical density, g cm⁻³: 2.59
Formation energy from the elements, eV/atom: -0.109

a = 3.1947 Å, b = 4.0917 Å, c = 6.0408 Å
α = 90.00°, β = 90.00°, γ = 90.00°
With the nearest neighbours (Å) after each atom.
Element x y z (fractional)
Al (0.0000, 0.0000, 0.0066)  2 Mg 2.89-3.15, 6 Al 2.97-3.19, 4 Sc 2.98
Al (0.5000, 0.5000, 0.2448)  2 Sc 2.91-3.13, 6 Al 2.97-3.19, 4 Mg 2.97
Sc (0.5000, 0.5000, 0.7637)  6 Al 2.91-3.13, 4 Mg 3.09, 2 Sc 3.19
Mg (0.0000, 0.0000, 0.4849)  6 Al 2.89-3.15, 4 Sc 3.09, 2 Mg 3.19



VASP calculation (PBE) on a relaxed structure of LaCr2Br.

Calculated values
Total energy, eV per cell: -22.7
V, Å³ per cell: 105
Theoretical density, g cm⁻³: 5.12
Energy above the most stable polymorph in this dataset, meV/atom: 770
E_form (uncorrected), eV/atom: 0.783

a = 5.2898 Å, b = 5.2898 Å, c = 5.2898 Å
α = 60.00°, β = 60.00°, γ = 60.00°
With the nearest neighbours (Å) after each atom.
Element x y z (fractional)
La (0.5000, 0.5000, 0.5000)  8 Cr 3.24
Br (0.0000, 0.0000, 0.0000)  8 Cr 3.24
Cr (0.7500, 0.7500, 0.7500)  4 La 3.24, 4 Br 3.24
Cr (0.2500, 0.2500, 0.2500)  4 La 3.24, 4 Br 3.24



VASP calculation (PBE) on a relaxed structure of FeSiPt4.

Calculated values
Total energy, eV per cell: -36.3
V, Å³ per cell: 102
Theoretical density, g cm⁻³: 14.08
E_form (uncorrected), eV/atom: 0.290

a = 5.2435 Å, b = 5.2435 Å, c = 5.2435 Å
α = 60.00°, β = 60.00°, γ = 60.00°
With the nearest neighbours (Å) after each atom.
Element x y z (fractional)
Pt (0.3748, 0.3748, 0.3748)  6 Pt 2.62-2.63
Pt (0.3748, 0.3748, 0.8756)  6 Pt 2.62-2.63
Pt (0.8756, 0.3748, 0.3748)  6 Pt 2.62-2.63
Pt (0.3748, 0.8756, 0.3748)  6 Pt 2.62-2.63
Si (0.7500, 0.7500, 0.7500)  12 Pt 3.07, 4 Fe 3.21
Fe (0.0000, 0.0000, 0.0000)  12 Pt 3.07, 4 Si 3.21



VASP calculation (PBE) on a relaxed structure of Sc8InCu2.

Calculated values
Total energy, eV per cell: -63.6
V, Å³ per cell: 238
Theoretical density, g cm⁻³: 4.19
Energy above the most stable polymorph in this dataset, meV/atom: 0
Formation energy from the elements, eV/atom: -0.185

a = 4.6470 Å, b = 7.3090 Å, c = 8.1089 Å
α = 114.24°, β = 106.65°, γ = 90.00°
With the nearest neighbours (Å) after each atom.
Element x y z (fractional)
Cu (0.1951, 0.6413, 0.3902)  5 Sc 2.62-2.71
Cu (0.8049, 0.3587, 0.6098)  5 Sc 2.62-2.71
Sc (0.6877, 0.9727, 0.3753)  1 Cu 2.62
Sc (0.0511, 0.7432, 0.1023)  1 Cu 2.64
Sc (0.8281, 0.7465, 0.6562)  3 Cu 2.70-2.98
Sc (0.9489, 0.2568, 0.8977)  1 Cu 2.64
Sc (0.3948, 0.5244, 0.7896)  2 Cu 2.71
Sc (0.6052, 0.4756, 0.2104)  2 Cu 2.71
Sc (0.3123, 0.0273, 0.6247)  1 Cu 2.62
Sc (0.1719, 0.2535, 0.3438)  3 Cu 2.70-2.98
In (0.5000, 0.0000, 0.0000)  8 Sc 3.01-3.29



VASP calculation (PBE) on a relaxed structure of HoCdInIr.

Calculated values
Total energy, eV per cell: -18.4
V, Å³ per cell: 82
Theoretical density, g cm⁻³: 11.82
Formation energy from the elements, eV/atom: -0.335

a = 4.8780 Å, b = 4.8780 Å, c = 4.8780 Å
α = 60.00°, β = 60.00°, γ = 60.00°
With the nearest neighbours (Å) after each atom.
Element x y z (fractional)
Ho (0.7500, 0.7500, 0.7500)  4 Ir 2.99, 4 Cd 2.99
Cd (0.0000, 0.0000, 0.0000)  4 Ho 2.99, 4 In 2.99
Ir (0.5000, 0.5000, 0.5000)  4 In 2.99, 4 Ho 2.99
In (0.2500, 0.2500, 0.2500)  4 Cd 2.99, 4 Ir 2.99



VASP calculation (PBE) on a relaxed structure of TbCeNdTl.

Calculated values
Total energy, eV per cell: -17.7
V, Å³ per cell: 117
Theoretical density, g cm⁻³: 9.23
Formation energy from the elements, eV/atom: 0.005

a = 5.4828 Å, b = 5.4828 Å, c = 5.4828 Å
α = 60.00°, β = 60.00°, γ = 60.00°
With the nearest neighbours (Å) after each atom.
Element x y z (fractional)
Nd (0.7500, 0.7500, 0.7500)  4 Tl 3.36, 4 Ce 3.36
Ce (0.5000, 0.5000, 0.5000)  4 Tb 3.36, 4 Nd 3.36
Tb (0.2500, 0.2500, 0.2500)  4 Tl 3.36, 4 Ce 3.36
Tl (0.0000, 0.0000, 0.0000)  4 Tb 3.36, 4 Nd 3.36



VASP calculation (PBE) on a relaxed structure of Ce4Sb3I.

Calculated values
Total energy, eV per cell: -45.8
V, Å³ per cell: 260
Theoretical density, g cm⁻³: 6.71
E_form (uncorrected), eV/atom: -1.015

a = 4.5470 Å, b = 7.7724 Å, c = 7.8309 Å
α = 70.17°, β = 90.01°, γ = 90.01°
With the nearest neighbours (Å) after each atom.
Element x y z (fractional)
Sb (0.5000, 0.0002, 0.5000)  6 Ce 3.13
Sb (0.9999, 0.0001, 0.0000)  6 Ce 3.19-3.20
Sb (0.9999, 0.5001, 0.4999)  6 Ce 3.19
I (0.5000, 0.5001, 0.0000)  6 Ce 3.25
Ce (0.4999, 0.7545, 0.2547)  5 Sb 3.13-3.20, 1 I 3.25
Ce (0.4999, 0.2457, 0.7453)  5 Sb 3.13-3.20, 1 I 3.25
Ce (0.0000, 0.2406, 0.2596)  4 Sb 3.13-3.20, 2 I 3.25
Ce (0.0000, 0.7596, 0.7402)  4 Sb 3.13-3.20, 2 I 3.25



VASP calculation (PBE) on a relaxed structure of Te2P2Pb.

Calculated values
Total energy, eV per cell: -18.9
V, Å³ per cell: 141
Theoretical density, g cm⁻³: 6.19
Energy above the most stable polymorph in this dataset, meV/atom: 166
E_form (uncorrected), eV/atom: 0.377

a = 5.3327 Å, b = 5.3327 Å, c = 6.2207 Å
α = 64.62°, β = 64.62°, γ = 90.00°
With the nearest neighbours (Å) after each atom.
Element x y z (fractional)
Pb (0.0000, 0.0000, 0.0000)  2 Te 3.19
P (0.2500, 0.7500, 0.5000)  4 Te 2.76
P (0.7500, 0.2500, 0.5000)  4 Te 2.76
Te (0.3223, 0.3223, 0.3554)  4 P 2.76
Te (0.6777, 0.6777, 0.6446)  4 P 2.76



VASP calculation (PBE) on a relaxed structure of Y2CuBr.

Calculated values
Total energy, eV per cell: -20.7
V, Å³ per cell: 96
Theoretical density, g cm⁻³: 5.54
Energy above the most stable polymorph in this dataset, meV/atom: 132
E_form (uncorrected), eV/atom: -0.500

a = 3.4337 Å, b = 3.4337 Å, c = 8.1681 Å
α = 90.00°, β = 90.00°, γ = 89.99°
With the nearest neighbours (Å) after each atom.
Element x y z (fractional)
Cu (0.5000, 0.5000, 0.7500)  8 Y 2.99
Y (0.0000, 0.0000, 0.5373)  4 Cu 2.99
Y (0.0000, 0.0000, 0.9627)  4 Cu 2.99
Br (0.5000, 0.5000, 0.2500)  8 Y 3.38, 4 Br 3.43



VASP calculation (PBE) on a relaxed structure of KAc2Pm3Te6.

Calculated values
Total energy, eV per cell: -59.6
V, Å³ per cell: 419
Theoretical density, g cm⁻³: 6.71
E_form (uncorrected), eV/atom: -1.434

a = 4.5569 Å, b = 9.3788 Å, c = 10.3851 Å
α = 104.32°, β = 102.67°, γ = 90.00°
With the nearest neighbours (Å) after each atom.
Element x y z (fractional)
Ac (0.1679, 0.3366, 0.3358)  6 Te 3.32-3.39
Ac (0.8321, 0.6634, 0.6642)  6 Te 3.32-3.39
Te (0.0019, 0.7369, 0.0038)  3 Pm 3.17-3.18, 1 Ac 3.33, 2 K 3.37
Te (0.6725, 0.0723, 0.3449)  3 Pm 3.22-3.24, 2 Ac 3.39, 1 K 3.39
Te (0.3275, 0.9277, 0.6551)  3 Pm 3.22-3.24, 2 Ac 3.39, 1 K 3.39
Te (0.6619, 0.5903, 0.3237)  3 Pm 3.15-3.17, 3 Ac 3.32-3.34
Te (0.9981, 0.2631, 0.9962)  3 Pm 3.17-3.18, 1 Ac 3.33, 2 K 3.37
Te (0.3381, 0.4097, 0.6763)  3 Pm 3.15-3.17, 3 Ac 3.32-3.34
K (0.5000, 0.0000, 0.0000)  6 Te 3.37-3.39
Pm (0.8364, 0.1774, 0.6728)  6 Te 3.15-3.24
Pm (0.5000, 0.5000, 0.0000)  6 Te 3.17-3.18
Pm (0.1636, 0.8226, 0.3272)  6 Te 3.15-3.24



VASP calculation (PBE) on a relaxed structure of Re4Au.

Calculated values
Total energy, eV per cell: -36.4
V, Å³ per cell: 104
Theoretical density, g cm⁻³: 15.03
Energy above the most stable polymorph in this dataset, meV/atom: 3089
Formation energy from the elements, eV/atom: 3.336

a = 4.7030 Å, b = 4.7030 Å, c = 4.7030 Å
α = 90.00°, β = 90.00°, γ = 90.00°
With the nearest neighbours (Å) after each atom.
Element x y z (fractional)
Re (0.5000, 0.5000, 0.0000)  2 Au 2.35
Re (0.0000, 0.0000, 0.0000)  12 Re 3.33
Re (0.5000, 0.0000, 0.5000)  2 Au 2.35
Re (0.0000, 0.5000, 0.5000)  2 Au 2.35
Au (0.5000, 0.5000, 0.5000)  6 Re 2.35



VASP calculation (PBE) on a relaxed structure of LiGe2OsCl.

Calculated values
Total energy, eV per cell: -24.4
V, Å³ per cell: 115
Theoretical density, g cm⁻³: 5.44
E_form (uncorrected), eV/atom: -0.029

a = 4.7079 Å, b = 5.2028 Å, c = 4.7079 Å
α = 90.00°, β = 90.00°, γ = 90.00°
With the nearest neighbours (Å) after each atom.
Element x y z (fractional)
Ge (0.5000, 0.0000, 0.0000)  2 Os 2.35
Ge (0.0000, 0.0000, 0.5000)  2 Os 2.35
Cl (0.5000, 0.5000, 0.5000)  4 Li 3.33, 8 Ge 3.51
Os (0.0000, 0.0000, 0.0000)  4 Ge 2.35, 2 Li 2.60
Li (0.0000, 0.5000, 0.0000)  2 Os 2.60